Entry from Alexandria: a relaxed Ta2MnVIr crystal (GGA-PBE).

Computed properties:
ΔE_f = 1.1028 eV per atom
N(E_F) = 6.35 states/eV per cell

Unit cell a=4.6130 b=4.6130 c=4.0160 alpha=90.00 beta=90.00 gamma=90.00
Closest atoms and distances in Å follow each position.
Space group P4/mmm (No. 123)
Asymmetric unit:
Ta (0.0000, 0.5000, 0.0000)  2 V 2.31
Mn (0.0000, 0.0000, 0.5000)  2 V 2.01
V (0.0000, 0.0000, 0.0000)  2 Mn 2.01
Ir (0.5000, 0.5000, 0.5000)  8 Ta 3.06, 4 Mn 3.26